Version 1
This record from Alexandria via LeMat-Bulk describes CsSr2Co after structural relaxation. The functional is PBE-GGA.

Computed properties:
N(E_F) (states/eV/f.u.): 2.62
M_tot (μB/cell): 0.0

Cell: 8.6043 8.6043 8.6043 Å, 119.99 119.99 90.01°
Last column: nearest neighbours and their distance in Å.
Fractional positions:
Cs1 0.0000 0.0000 0.0000  12 Sr 5.03-5.07, 4 Co 5.27, 4 Cs 5.27
Cs2 0.7500 0.2500 0.5000  12 Sr 5.03-5.07, 4 Co 5.27, 4 Cs 5.27
Sr1 0.3723 0.6250 0.2473  2 Co 2.63
Sr2 0.3750 0.6223 0.7473  2 Co 2.63
Sr3 0.3777 0.1250 0.7527  2 Co 2.63
Sr4 0.8750 0.6277 0.2527  2 Co 2.63
Co1 0.2500 0.7500 0.5000  4 Sr 2.63
Co2 0.5000 0.5000 0.0000  4 Sr 2.63

Version 2
This record from Alexandria via LeMat-Bulk describes CsSr2Co after structural relaxation. The functional is PBE-GGA.

Computed properties:
N(E_F) (states/eV/f.u.): 17.65
M_tot (μB/cell): 0.9

Cell: 6.0354 6.0354 6.0354 Å, 60.00 60.00 60.00°
Last column: nearest neighbours and their distance in Å.
Fractional positions:
Cs1 0.0000 0.0000 0.0000  8 Sr 3.70
Sr1 0.2500 0.2500 0.2500  4 Co 3.70, 4 Cs 3.70
Sr2 0.7500 0.7500 0.7500  4 Co 3.70, 4 Cs 3.70
Co1 0.5000 0.5000 0.5000  8 Sr 3.70

The most stable of them is version 1.